(1)
Material: SmMg2Cd9
Method: DFT, GGA-PBE
State: optimized geometry

Energy of formation: -0.119 eV/atom
Total moment: 0.000 μB/atom
Relative energy among the computed polymorphs: 0.000 eV/atom
VASP energy: -35.1 eV per cell

Cell lengths 9.2511, 9.2511, 9.2511 Å; angles 100.10, 100.10, 130.47 degrees
With the nearest neighbours (Å) after each atom.
Fractional positions:
Sm1 0.3750 0.6250 0.7500  18 Cd 3.62-3.87
Sm2 0.6250 0.3750 0.2500  18 Cd 3.62-3.87
Mg1 0.0000 0.0000 0.0000  10 Cd 2.92-3.12
Mg2 0.0000 0.0000 0.5000  10 Cd 2.92-3.12
Mg3 0.0000 0.5000 0.0000  10 Cd 2.92-3.12
Mg4 0.5000 0.0000 0.5000  10 Cd 2.92-3.12
Cd1 0.1245 0.5517 0.3318  5 Cd 2.86-3.07, 2 Mg 2.92-2.97
Cd2 0.1245 0.7926 0.5728  5 Cd 2.86-3.07, 2 Mg 2.92-2.97
Cd3 0.1250 0.8750 0.2500  4 Mg 3.12, 8 Cd 3.21
Cd4 0.2074 0.2801 0.3318  5 Cd 2.86-3.07, 2 Mg 2.92-2.97
Cd5 0.2074 0.8755 0.9272  5 Cd 2.86-3.07, 2 Mg 2.92-2.97
Cd6 0.2801 0.2074 0.8318  5 Cd 2.86-3.07, 2 Mg 2.92-2.97
Cd7 0.2801 0.4483 0.0728  5 Cd 2.86-3.07, 2 Mg 2.92-2.97
Cd8 0.4483 0.2801 0.5728  5 Cd 2.86-3.07, 2 Mg 2.92-2.97
Cd9 0.4483 0.8755 0.1682  5 Cd 2.86-3.07, 2 Mg 2.92-2.97
Cd10 0.5517 0.1245 0.8318  5 Cd 2.86-3.07, 2 Mg 2.92-2.97
Cd11 0.5517 0.7199 0.4272  5 Cd 2.86-3.07, 2 Mg 2.92-2.97
Cd12 0.7199 0.5517 0.9272  5 Cd 2.86-3.07, 2 Mg 2.92-2.97
Cd13 0.7199 0.7926 0.1682  5 Cd 2.86-3.07, 2 Mg 2.92-2.97
Cd14 0.7926 0.1245 0.0728  5 Cd 2.86-3.07, 2 Mg 2.92-2.97
Cd15 0.7926 0.7199 0.6682  5 Cd 2.86-3.07, 2 Mg 2.92-2.97
Cd16 0.8750 0.1250 0.7500  4 Mg 3.12, 8 Cd 3.21
Cd17 0.8755 0.2074 0.4272  5 Cd 2.86-3.07, 2 Mg 2.92-2.97
Cd18 0.8755 0.4483 0.6682  5 Cd 2.86-3.07, 2 Mg 2.92-2.97

(2)
Material: Sm4Mg5Cd2
Method: DFT, GGA-PBE
State: optimized geometry

Energy of formation: -0.109 eV/atom
Total moment: 0.000 μB/atom
VASP energy: -29.9 eV per cell

Cell lengths 8.1838, 3.4398, 10.7401 Å; angles 90.00, 94.12, 90.00 degrees
With the nearest neighbours (Å) after each atom.
Fractional positions:
Sm1 0.1563 0.0000 0.3849  2 Cd 3.22, 8 Mg 3.41-3.49, 2 Sm 3.44
Sm2 0.2755 0.0000 0.9464  4 Cd 3.29, 2 Sm 3.44, 6 Mg 3.47-3.48
Sm3 0.7245 0.0000 0.0536  4 Cd 3.29, 2 Sm 3.44, 6 Mg 3.47-3.48
Sm4 0.8437 0.0000 0.6151  2 Cd 3.22, 8 Mg 3.41-3.49, 2 Sm 3.44
Mg1 0.2015 0.5000 0.6665  1 Cd 3.10, 4 Mg 3.13-3.44, 2 Sm 3.41
Mg2 0.4312 0.5000 0.2095  1 Cd 3.10, 4 Mg 3.13-3.44
Mg3 0.5000 0.5000 0.5000  6 Mg 3.13-3.44, 4 Sm 3.45
Mg4 0.5688 0.5000 0.7905  1 Cd 3.10, 4 Mg 3.13-3.44
Mg5 0.7985 0.5000 0.3335  1 Cd 3.10, 4 Mg 3.13-3.44, 2 Sm 3.41
Cd1 0.0579 0.5000 0.1367  1 Cd 3.02, 2 Mg 3.10, 6 Sm 3.22-3.29
Cd2 0.9421 0.5000 0.8633  1 Cd 3.02, 2 Mg 3.10, 6 Sm 3.22-3.29

(3)
Material: Sm6Mg5Cd
Method: DFT, GGA-PBE
State: optimized geometry

Energy of formation: -0.138 eV/atom
Total moment: 0.000 μB/atom
VASP energy: -38.9 eV per cell

Cell lengths 8.5952, 8.5952, 7.6661 Å; angles 90.00, 90.00, 143.16 degrees
With the nearest neighbours (Å) after each atom.
Fractional positions:
Sm1 0.0000 0.0000 0.2491  2 Cd 3.32, 6 Mg 3.33-3.36
Sm2 0.0000 0.0000 0.7509  2 Cd 3.32, 6 Mg 3.33-3.36
Sm3 0.3339 0.6661 0.2507  7 Mg 3.30-3.33, 1 Cd 3.32
Sm4 0.3339 0.6661 0.7493  7 Mg 3.30-3.33, 1 Cd 3.32
Sm5 0.6661 0.3339 0.2507  7 Mg 3.30-3.33, 1 Cd 3.32
Sm6 0.6661 0.3339 0.7493  7 Mg 3.30-3.33, 1 Cd 3.32
Mg1 0.1671 0.8329 0.5000  8 Sm 3.32-3.34
Mg2 0.1693 0.8307 0.0000  8 Sm 3.30-3.36
Mg3 0.5000 0.5000 0.5000  8 Sm 3.32-3.33
Mg4 0.8307 0.1693 0.0000  8 Sm 3.30-3.36
Mg5 0.8329 0.1671 0.5000  8 Sm 3.32-3.34
Cd1 0.5000 0.5000 0.0000  8 Sm 3.32

(4)
Material: SmMg2Cd9
Method: DFT, GGA-PBE
State: optimized geometry

Energy of formation: -0.090 eV/atom
Total moment: 0.000 μB/atom
Relative energy among the computed polymorphs: 0.029 eV/atom
VASP energy: -17.2 eV per cell

Cell lengths 9.9642, 9.9642, 3.2284 Å; angles 90.00, 90.00, 120.00 degrees
With the nearest neighbours (Å) after each atom.
Fractional positions:
Sm1 0.0000 0.0000 0.0000  2 Sm 3.23, 12 Cd 3.44
Mg1 0.3333 0.6667 0.0000  9 Cd 2.88-3.16
Mg2 0.6667 0.3333 0.0000  9 Cd 2.88-3.16
Cd1 0.0000 0.5000 0.0000  2 Mg 2.88
Cd2 0.1757 0.3515 0.5000  8 Cd 3.03-3.23, 2 Mg 3.16
Cd3 0.1757 0.8243 0.5000  8 Cd 3.03-3.23, 2 Mg 3.16
Cd4 0.3515 0.1757 0.5000  8 Cd 3.03-3.23, 2 Mg 3.16
Cd5 0.5000 0.0000 0.0000  2 Mg 2.88
Cd6 0.5000 0.5000 0.0000  2 Mg 2.88
Cd7 0.6485 0.8243 0.5000  8 Cd 3.03-3.23, 2 Mg 3.16
Cd8 0.8243 0.1757 0.5000  8 Cd 3.03-3.23, 2 Mg 3.16
Cd9 0.8243 0.6485 0.5000  8 Cd 3.03-3.23, 2 Mg 3.16

(5)
Material: SmMg4Cd5
Method: DFT, GGA-PBE
State: optimized geometry

Energy of formation: -0.160 eV/atom
Total moment: 0.030 μB/atom
VASP energy: -17.3 eV per cell

Cell lengths 3.6353, 3.6353, 17.2220 Å; angles 90.00, 90.00, 90.00 degrees
With the nearest neighbours (Å) after each atom.
Fractional positions:
Sm1 0.0000 0.0000 0.0000  8 Cd 3.30, 4 Sm 3.64, 2 Mg 3.70
Mg1 0.0000 0.0000 0.2148  8 Cd 3.04-3.05, 1 Mg 3.28
Mg2 0.0000 0.0000 0.4050  8 Cd 3.04-3.05, 2 Mg 3.27-3.28
Mg3 0.0000 0.0000 0.5950  8 Cd 3.04-3.05, 2 Mg 3.27-3.28
Mg4 0.0000 0.0000 0.7852  8 Cd 3.04-3.05, 1 Mg 3.28
Cd1 0.5000 0.5000 0.1206  4 Mg 3.04, 1 Cd 3.27, 4 Sm 3.30
Cd2 0.5000 0.5000 0.3106  8 Mg 3.04-3.05, 2 Cd 3.26-3.27
Cd3 0.5000 0.5000 0.5000  8 Mg 3.05, 2 Cd 3.26
Cd4 0.5000 0.5000 0.6894  8 Mg 3.04-3.05, 2 Cd 3.26-3.27
Cd5 0.5000 0.5000 0.8794  4 Mg 3.04, 1 Cd 3.27, 4 Sm 3.30

(6)
Material: Sm3Mg6Cd2
Method: DFT, GGA-PBE
State: optimized geometry

Energy of formation: 0.015 eV/atom
Total moment: 0.067 μB/atom
VASP energy: -25.4 eV per cell

Cell lengths 17.3619, 17.3619, 17.3619 Å; angles 166.00, 166.00, 19.85 degrees
With the nearest neighbours (Å) after each atom.
Fractional positions:
Sm1 0.0000 0.0000 0.0000  8 Mg 3.44
Sm2 0.1690 0.1690 0.0000  4 Cd 3.15, 1 Mg 3.52
Sm3 0.8310 0.8310 0.0000  4 Cd 3.15, 1 Mg 3.52
Mg1 0.0794 0.5794 0.5000  2 Cd 2.98, 4 Mg 2.99
Mg2 0.2717 0.2717 0.0000  1 Cd 3.00, 4 Mg 3.34
Mg3 0.4206 0.9206 0.5000  2 Cd 2.98, 4 Mg 2.99
Mg4 0.5794 0.0794 0.5000  2 Cd 2.98, 4 Mg 2.99
Mg5 0.7283 0.7283 0.0000  1 Cd 3.00, 4 Mg 3.34
Mg6 0.9206 0.4206 0.5000  2 Cd 2.98, 4 Mg 2.99
Cd1 0.3594 0.3594 0.0000  5 Mg 2.98-3.00, 4 Sm 3.15
Cd2 0.6406 0.6406 0.0000  5 Mg 2.98-3.00, 4 Sm 3.15

(7)
Material: Sm2Mg3Cd2
Method: DFT, GGA-PBE
State: optimized geometry

Energy of formation: -0.146 eV/atom
Total moment: 0.000 μB/atom
VASP energy: -17.1 eV per cell

Cell lengths 5.9590, 5.9590, 7.2405 Å; angles 101.21, 101.21, 47.47 degrees
With the nearest neighbours (Å) after each atom.
Fractional positions:
Sm1 0.1164 0.1164 0.3542  5 Cd 3.13-3.34, 1 Mg 3.48
Sm2 0.8836 0.8836 0.6458  5 Cd 3.13-3.34, 1 Mg 3.48
Mg1 0.1982 0.1982 0.8723  2 Cd 2.90, 3 Mg 3.09-3.22
Mg2 0.5000 0.5000 0.0000  2 Cd 2.84
Mg3 0.8018 0.8018 0.1277  2 Cd 2.90, 3 Mg 3.09-3.22
Cd1 0.4001 0.4001 0.3313  3 Mg 2.84-2.90, 1 Cd 2.91, 1 Sm 3.13
Cd2 0.5999 0.5999 0.6687  3 Mg 2.84-2.90, 1 Cd 2.91, 1 Sm 3.13

(8)
Material: Sm2Mg5Cd3
Method: DFT, GGA-PBE
State: optimized geometry

Energy of formation: -0.117 eV/atom
Total moment: 0.000 μB/atom
VASP energy: -42.7 eV per cell

Cell lengths 9.5270, 9.5270, 9.5270 Å; angles 98.52, 93.85, 141.70 degrees
With the nearest neighbours (Å) after each atom.
Fractional positions:
Sm1 0.2424 0.1302 0.3726  4 Cd 3.35-3.45, 4 Mg 3.36-3.45
Sm2 0.2576 0.6302 0.8878  4 Cd 3.35-3.45, 4 Mg 3.36-3.45
Sm3 0.7424 0.3698 0.1122  4 Cd 3.35-3.45, 4 Mg 3.36-3.45
Sm4 0.7576 0.8698 0.6274  4 Cd 3.35-3.45, 4 Mg 3.36-3.45
Mg1 0.1467 0.3858 0.5325  3 Cd 2.72-2.85, 2 Mg 2.98
Mg2 0.2500 0.2500 0.0000  4 Cd 2.91, 4 Mg 3.13
Mg3 0.2500 0.5017 0.2517  3 Cd 2.89-3.09, 5 Mg 2.98-3.13
Mg4 0.2500 0.9983 0.7483  3 Cd 2.89-3.09, 5 Mg 2.98-3.13
Mg5 0.3533 0.8858 0.2390  3 Cd 2.72-2.85, 2 Mg 2.98
Mg6 0.6467 0.1142 0.7610  3 Cd 2.72-2.85, 2 Mg 2.98
Mg7 0.7500 0.0017 0.2517  3 Cd 2.89-3.09, 5 Mg 2.98-3.13
Mg8 0.7500 0.4983 0.7483  3 Cd 2.89-3.09, 5 Mg 2.98-3.13
Mg9 0.7500 0.7500 0.0000  4 Cd 2.91, 4 Mg 3.13
Mg10 0.8533 0.6142 0.4675  3 Cd 2.72-2.85, 2 Mg 2.98
Cd1 0.1447 0.8726 0.0173  5 Mg 2.72-2.91
Cd2 0.2500 0.7500 0.5000  6 Mg 2.85-3.09, 2 Cd 3.13
Cd3 0.3553 0.3726 0.7279  5 Mg 2.72-2.91
Cd4 0.6447 0.6274 0.2721  5 Mg 2.72-2.91
Cd5 0.7500 0.2500 0.5000  6 Mg 2.85-3.09, 2 Cd 3.13
Cd6 0.8553 0.1274 0.9827  5 Mg 2.72-2.91

(9)
Material: Sm4Mg5Cd
Method: DFT, GGA-PBE
State: optimized geometry

Energy of formation: -0.126 eV/atom
Total moment: 0.000 μB/atom
VASP energy: -29.0 eV per cell

Cell lengths 8.4569, 8.4569, 6.6574 Å; angles 105.24, 105.24, 36.57 degrees
With the nearest neighbours (Å) after each atom.
Fractional positions:
Sm1 0.0989 0.0989 0.3947  6 Mg 3.19-3.47, 2 Cd 3.27
Sm2 0.3066 0.3066 0.1910  1 Cd 3.22, 7 Mg 3.25-3.41
Sm3 0.6934 0.6934 0.8090  1 Cd 3.22, 7 Mg 3.25-3.41
Sm4 0.9011 0.9011 0.6053  6 Mg 3.19-3.47, 2 Cd 3.27
Mg1 0.0968 0.0968 0.9138  6 Sm 3.19-3.47, 2 Mg 3.21
Mg2 0.3026 0.3026 0.7009  7 Sm 3.24-3.41, 1 Mg 3.24
Mg3 0.5000 0.5000 0.0000  6 Mg 3.21-3.24, 2 Cd 3.33
Mg4 0.6974 0.6974 0.2991  7 Sm 3.24-3.41, 1 Mg 3.24
Mg5 0.9032 0.9032 0.0862  6 Sm 3.19-3.47, 2 Mg 3.21
Cd1 0.5000 0.5000 0.5000  6 Sm 3.22-3.27, 2 Mg 3.33

(10)
Material: Sm8Mg2Cd
Method: DFT, GGA-PBE
State: optimized geometry

Energy of formation: 0.000 eV/atom
Total moment: 0.000 μB/atom
VASP energy: -41.9 eV per cell

Cell lengths 9.4664, 9.4664, 7.3213 Å; angles 105.69, 105.69, 33.20 degrees
With the nearest neighbours (Å) after each atom.
Fractional positions:
Sm1 0.0235 0.0235 0.2596  1 Mg 3.21, 2 Cd 3.32, 2 Sm 3.53
Sm2 0.1872 0.1872 0.7643  3 Mg 3.15-3.45, 3 Sm 3.46-3.51
Sm3 0.3351 0.3351 0.5519  3 Mg 3.11-3.38, 1 Cd 3.12, 2 Sm 3.46
Sm4 0.4056 0.4056 0.0436  1 Cd 3.30, 2 Mg 3.44, 6 Sm 3.46-3.67
Sm5 0.5944 0.5944 0.9564  1 Cd 3.30, 2 Mg 3.44, 6 Sm 3.46-3.67
Sm6 0.6649 0.6649 0.4481  3 Mg 3.11-3.38, 1 Cd 3.12, 2 Sm 3.46
Sm7 0.8128 0.8128 0.2357  3 Mg 3.15-3.45, 3 Sm 3.46-3.51
Sm8 0.9765 0.9765 0.7404  1 Mg 3.21, 2 Cd 3.32, 2 Sm 3.53
Mg1 0.1918 0.1918 0.1980  9 Sm 3.11-3.45
Mg2 0.8082 0.8082 0.8020  9 Sm 3.11-3.45
Cd1 0.5000 0.5000 0.5000  8 Sm 3.12-3.32

(11)
Material: Sm2MgCd5
Method: DFT, GGA-PBE
State: optimized geometry

Energy of formation: -0.216 eV/atom
Total moment: 0.000 μB/atom
Relative energy among the computed polymorphs: 0.000 eV/atom
VASP energy: -17.3 eV per cell

Cell lengths 8.8624, 8.8624, 8.8624 Å; angles 147.98, 147.98, 45.92 degrees
With the nearest neighbours (Å) after each atom.
Fractional positions:
Sm1 0.2476 0.2476 0.0000  8 Cd 3.27-3.32, 4 Sm 3.46
Sm2 0.7524 0.7524 0.0000  8 Cd 3.27-3.32, 4 Sm 3.46
Mg1 0.5000 0.5000 0.0000  8 Cd 3.08
Cd1 0.0000 0.0000 0.0000  8 Cd 3.08
Cd2 0.1143 0.6143 0.5000  2 Cd 3.08, 2 Mg 3.08, 4 Sm 3.27-3.32
Cd3 0.3857 0.8857 0.5000  2 Cd 3.08, 2 Mg 3.08, 4 Sm 3.27-3.32
Cd4 0.6143 0.1143 0.5000  2 Cd 3.08, 2 Mg 3.08, 4 Sm 3.27-3.32
Cd5 0.8857 0.3857 0.5000  2 Cd 3.08, 2 Mg 3.08, 4 Sm 3.27-3.32

(12)
Material: Sm2MgCd16
Method: DFT, GGA-PBE
State: optimized geometry

Energy of formation: -0.145 eV/atom
Total moment: 0.000 μB/atom
VASP energy: -28.4 eV per cell

Cell lengths 7.6634, 7.6634, 7.6634 Å; angles 82.01, 82.01, 82.01 degrees
With the nearest neighbours (Å) after each atom.
Fractional positions:
Sm1 0.0000 0.0000 0.0000  13 Cd 3.36-3.68
Sm2 0.3362 0.3362 0.3362  18 Cd 3.55-3.93, 1 Mg 3.58
Mg1 0.5747 0.5747 0.5747  13 Cd 3.02-3.37
Cd1 0.0265 0.0265 0.5138  6 Cd 2.85-3.01
Cd2 0.0265 0.5138 0.0265  6 Cd 2.85-3.01
Cd3 0.1775 0.6601 0.6601  9 Cd 2.93-3.12, 1 Mg 3.02
Cd4 0.3051 0.3051 0.8336  6 Cd 2.85-3.00
Cd5 0.3051 0.8336 0.3051  6 Cd 2.85-3.00
Cd6 0.3683 0.6686 0.9660  8 Cd 2.93-3.21
Cd7 0.3683 0.9660 0.6686  8 Cd 2.93-3.21
Cd8 0.5138 0.0265 0.0265  6 Cd 2.85-3.01
Cd9 0.6601 0.1775 0.6601  9 Cd 2.93-3.12, 1 Mg 3.02
Cd10 0.6601 0.6601 0.1775  9 Cd 2.93-3.12, 1 Mg 3.02
Cd11 0.6686 0.3683 0.9660  8 Cd 2.93-3.21
Cd12 0.6686 0.9660 0.3683  8 Cd 2.93-3.21
Cd13 0.7762 0.7762 0.7762  1 Mg 3.02, 6 Cd 3.12-3.21, 1 Sm 3.36
Cd14 0.8336 0.3051 0.3051  6 Cd 2.85-3.00
Cd15 0.9660 0.3683 0.6686  8 Cd 2.93-3.21
Cd16 0.9660 0.6686 0.3683  8 Cd 2.93-3.21